Ho3Ga2Pd6 | GGA-PBE | relaxed

The value obtained for the theoretical density is 10.00 g cm⁻³. The value obtained for the total magnetization is 0.0 μB/f.u. For the energy relative to the elements, the calculation gives -81.45 kJ per mole of atoms.

The space group is Im-3m (No. 229) and the conventional cell measures 9.456, 9.456 and 9.456 Å, with angles of 90.00, 90.00 and 90.00 degrees. Symmetry generates all atoms from Ho at (0.000, 0.000, 0.295), Ga at (0.250, 0.250, 0.250) and Pd at (0.000, 0.331, 0.331).

HoGa7Pd2 | GGA-PBE | relaxed

The value obtained for the theoretical density is 6.92 g cm⁻³. The value obtained for the total magnetization is 0.0 μB/f.u. For the energy relative to the elements, the calculation gives -23.00 kJ per mole of atoms.

The space group is Cmmm (No. 65) and the conventional cell measures 9.138, 10.124 and 4.492 Å, with angles of 90.00, 90.00 and 90.00 degrees. Symmetry generates all atoms from Ho at (0.000, 0.000, 0.000), Ga at (0.000, 0.355, 0.000), Ga at (0.000, 0.500, 0.500), Ga at (0.234, 0.122, 0.500) and Pd at (0.000, 0.246, 0.500).